Arrangement w

BeInRu2 | meta-GGA SCAN | PBEsol geometry

Properties
Calculated density ... 9.78 g/cm3
Total moment ... 0.0 μB per cell
V ... 13.83 A^3/atom

Lattice parameters (Å, degrees): 3.1217 4.2101 4.2101 90.00 90.00 90.00
Sites, in units of the cell vectors:
Ru  0.0000  0.0000  0.5000
Ru  0.0000  0.5000  0.0000
Be  0.5000  0.5000  0.5000
In  0.5000  0.0000  0.0000


Arrangement x

BeInRu2 | meta-GGA SCAN | PBEsol geometry

Properties
Calculated density ... 9.65 g/cm3
Total moment ... 0.0 μB per cell
V ... 14.02 A^3/atom

Lattice parameters (Å, degrees): 2.8323 4.0107 5.1344 90.00 106.00 90.00
Sites, in units of the cell vectors:
Ru  0.0853  0.0000  0.0457
Ru  0.6894  0.5000  0.2542
Be  0.8020  0.0000  0.4778
In  0.4233  0.5000  0.7223


arrangement x is the most stable structure shown above.